# 1
Computed, not measured: a relaxed KMn2CrFe crystal at the PBE-GGA level of DFT.

```
data_KMn2CrFe
_symmetry_space_group_name_H-M 'P 4/m m m'
_symmetry_Int_Tables_number 123
_symmetry_space_group_name_Hall '-P 4 2'
_cell_length_a 4.5308
_cell_length_b 4.5308
_cell_length_c 5.5653
_cell_angle_alpha 90.00
_cell_angle_beta 90.00
_cell_angle_gamma 90.00
loop_
_atom_site_label
_atom_site_type_symbol
_atom_site_fract_x
_atom_site_fract_y
_atom_site_fract_z
K1 K 0.0000 0.0000 0.0000
Mn1 Mn 0.0000 0.5000 0.5000
Cr1 Cr 0.0000 0.0000 0.5000
Fe1 Fe 0.5000 0.5000 0.0000
```

***

# 2
Computed, not measured: a relaxed KCrFeNi2 crystal at the PBE-GGA level of DFT.

```
data_KCrFeNi2
_symmetry_space_group_name_H-M 'P 4/m m m'
_symmetry_Int_Tables_number 123
_symmetry_space_group_name_Hall '-P 4 2'
_cell_length_a 4.6197
_cell_length_b 4.6197
_cell_length_c 4.0706
_cell_angle_alpha 90.00
_cell_angle_beta 90.00
_cell_angle_gamma 90.00
loop_
_atom_site_label
_atom_site_type_symbol
_atom_site_fract_x
_atom_site_fract_y
_atom_site_fract_z
K1 K 0.0000 0.0000 0.0000
Cr1 Cr 0.5000 0.5000 0.0000
Fe1 Fe 0.5000 0.5000 0.5000
Ni1 Ni 0.0000 0.5000 0.5000
```

***

Respective E_tot values: -5.83; -5.01 eV/atom.
Respective formation energy values: 8.361; 5.700 eV/f.u..